(1)
This record from the Alexandria database describes a relaxed CuMoAs2 crystal. The functional is PBE-GGA.

Unit cell a=7.709 b=7.709 c=7.709 alpha=23.64 beta=23.64 gamma=23.64
Positions (direct):
As 0.001 0.001 0.001
As 0.499 0.499 0.499
Cu 0.250 0.250 0.250
Mo 0.750 0.750 0.750

Results
Energy relative to the lowest polymorph listed for this composition: 48 meV/atom
VASP energy: -24.1 eV per cell
Calculated formation energy: 0.0307 eV/atom
Mass density: 7.94 g/cm3
Symmetry: R-3m (166)
Crystal system: trigonal


(2)
This record from the Alexandria database describes a relaxed La2DyCu3Ni12 crystal. The functional is PBE-GGA.

Unit cell a=9.152 b=9.152 c=9.152 alpha=40.72 beta=40.72 gamma=40.72
Positions (direct):
La 0.636 0.636 0.636
La 0.364 0.364 0.364
Dy 0.000 0.000 0.000
Cu 0.500 0.000 0.000
Cu 0.000 0.500 0.000
Cu 0.000 0.000 0.500
Ni 0.417 0.417 0.792
Ni 0.863 0.863 0.484
Ni 0.484 0.863 0.863
Ni 0.792 0.417 0.417
Ni 0.863 0.484 0.863
Ni 0.417 0.792 0.417
Ni 0.583 0.583 0.208
Ni 0.137 0.137 0.516
Ni 0.516 0.137 0.137
Ni 0.208 0.583 0.583
Ni 0.137 0.516 0.137
Ni 0.583 0.208 0.583

Results
VASP energy: -92.7 eV per cell
Calculated formation energy: 0.1906 eV/atom
Mass density: 7.53 g/cm3
Symmetry: R-3m (166)
Crystal system: trigonal


Look up the mass density of the first one.
7.94 g/cm3